Compound: MgMnIn2
Source: the Alexandria database
Functional: GGA-PBE
Structure: optimized geometry

Computed properties:
The calculation puts the formation energy at 0.126 eV/atom. The density of states at the Fermi level comes out at 2.398 states/eV/f.u.

```
MgMnIn2
1.0
1.633 0.943 9.308
-1.633 0.943 9.308
0.000 -1.886 9.308
Mg Mn In
1 1 2
Direct
0.000 0.000 0.000 Mg
0.500 0.500 0.500 Mn
0.246 0.246 0.246 In
0.754 0.754 0.754 In
```